Below is crystalline LaRe at its relaxed geometry, with properties calculated at the PBE level.

Output
The total magnetization is 0.00 μB/f.u. For the raw total energy, the calculation gives -8.323 eV/atom. Its space group is Fddd.

Cell lengths 5.735, 14.583, 9.117 Å; angles 90.00, 90.00, 90.00 degrees
Sites, in units of the cell vectors:
Re (0.750, 0.168, 0.250)
Re (0.250, 0.168, 0.750)
Re (0.000, 0.418, 0.500)
Re (0.500, 0.582, 0.000)
Re (0.250, 0.332, 0.750)
Re (0.000, 0.582, 0.500)
Re (0.750, 0.668, 0.750)
Re (0.000, 0.918, 0.000)
Re (0.500, 0.918, 0.500)
Re (0.250, 0.668, 0.250)
Re (0.500, 0.418, 0.000)
Re (0.750, 0.332, 0.250)
Re (0.000, 0.082, 0.000)
Re (0.500, 0.082, 0.500)
Re (0.750, 0.832, 0.750)
Re (0.250, 0.832, 0.250)
La (0.250, 0.750, 0.920)
La (0.250, 0.250, 0.080)
La (0.500, 0.000, 0.830)
La (0.500, 0.500, 0.670)
La (0.750, 0.250, 0.920)
La (0.000, 0.000, 0.330)
La (0.000, 0.500, 0.830)
La (0.750, 0.250, 0.580)
La (0.500, 0.500, 0.330)
La (0.000, 0.000, 0.670)
La (0.250, 0.750, 0.580)
La (0.750, 0.750, 0.080)
La (0.500, 0.000, 0.170)
La (0.750, 0.750, 0.420)
La (0.000, 0.500, 0.170)
La (0.250, 0.250, 0.420)